1.
4
Lattice="1.500 -2.217 0.000 1.500 2.217 0.000 0.000 0.000 7.872" Properties=species:S:1:pos:R:3 comment="Cr2TcAs | Alexandria | GGA-PBEsol | optimized geometry" n_ef_per_ev_cell=4.5 m_tot_mub_per_fu=0.00 formation_energy_mev_per_atom=328 space_group=Cmm2 pbc="T T T"
Cr 0.000 0.000 0.000
Cr 1.500 0.000 1.791
Tc 1.500 0.000 5.910
As 0.000 0.000 3.734

2.
5
Lattice="4.541 0.000 0.000 0.000 4.541 0.000 0.000 0.000 4.541" Properties=species:S:1:pos:R:3 comment="CrTcAs3 | Alexandria | GGA-PBEsol | optimized geometry" n_ef_per_ev_cell=6.1 m_tot_mub_per_fu=3.24 formation_energy_mev_per_atom=973 space_group=Pm-3m pbc="T T T"
Cr 0.000 0.000 0.000
Tc 2.270 2.270 2.270
As 0.000 0.000 2.270
As 0.000 2.270 0.000
As 2.270 0.000 0.000

3.
4
Lattice="1.395 0.805 8.129 -1.395 0.805 8.129 0.000 -1.610 8.129" Properties=species:S:1:pos:R:3 comment="CrTc2As | Alexandria | GGA-PBEsol | optimized geometry" n_ef_per_ev_cell=3.9 m_tot_mub_per_fu=0.00 formation_energy_mev_per_atom=176 space_group=R-3m pbc="T T T"
Cr 0.000 0.000 0.000
Tc 0.000 0.000 6.163
Tc 0.000 0.000 18.222
As 0.000 0.000 12.193

4.
4
Lattice="1.472 0.850 7.467 -1.472 0.850 7.467 0.000 -1.700 7.467" Properties=species:S:1:pos:R:3 comment="CrTcAs2 | Alexandria | GGA-PBEsol | optimized geometry" n_ef_per_ev_cell=4.5 m_tot_mub_per_fu=0.93 formation_energy_mev_per_atom=105 space_group=R-3m pbc="T T T"
Cr 0.000 0.000 0.000
Tc 0.000 0.000 11.200
As 0.000 0.000 5.660
As 0.000 0.000 16.741

5.
4
Lattice="3.381 0.000 0.000 0.000 1.698 6.268 0.000 -1.698 6.268" Properties=species:S:1:pos:R:3 comment="Cr2TeAs | Alexandria | GGA-PBEsol | optimized geometry" n_ef_per_ev_cell=3.6 de_polymorph_ev_per_atom=0.000 m_tot_mub_per_fu=4.67 e_form_raw_mev_per_atom=109 space_group=Amm2 pbc="T T T"
Cr 0.000 0.000 0.000
Cr 1.690 0.000 2.343
Te 0.000 0.000 9.867
As 1.690 0.000 6.819

6.
8
Lattice="-2.773 2.773 6.389 2.773 -2.773 6.389 2.773 2.773 -6.389" Properties=species:S:1:pos:R:3 comment="Cr2TeAs | Alexandria | GGA-PBEsol | optimized geometry" n_ef_per_ev_cell=3.8 de_polymorph_ev_per_atom=0.248 m_tot_mub_per_fu=7.00 e_form_raw_mev_per_atom=357 space_group=I-42d pbc="T T T"
Cr 4.160 1.158 -1.597
Cr 1.158 1.387 1.597
Cr -1.387 1.615 4.792
Cr 1.615 1.387 7.986
Te 2.773 0.000 3.194
Te 0.000 0.000 6.389
As 0.000 0.000 0.000
As 0.000 2.773 3.194

7.
4
Lattice="3.860 0.000 0.000 0.000 3.860 0.000 0.000 0.000 5.400" Properties=species:S:1:pos:R:3 comment="CrTeAs2 | Alexandria | GGA-PBEsol | optimized geometry" n_ef_per_ev_cell=2.2 m_tot_mub_per_fu=3.44 e_form_raw_mev_per_atom=444 space_group=P4/mmm pbc="T T T"
Cr 0.000 0.000 0.000
Te 1.930 1.930 0.000
As 0.000 1.930 2.700
As 1.930 0.000 2.700

8.
3
Lattice="-1.528 1.528 6.026 1.528 -1.528 6.026 1.528 1.528 -6.026" Properties=species:S:1:pos:R:3 comment="CrTeAs | Alexandria | GGA-PBEsol | optimized geometry" n_ef_per_ev_cell=2.6 m_tot_mub_per_fu=0.31 e_form_raw_mev_per_atom=130 space_group=I4mm pbc="T T T"
Cr 0.000 0.000 0.000
Te 0.000 0.000 7.657
As 0.000 0.000 4.641

9.
5
Lattice="5.413 0.000 0.000 0.000 5.413 0.000 0.000 0.000 4.893" Properties=species:S:1:pos:R:3 comment="ZrCrTe2As | Alexandria | GGA-PBEsol | optimized geometry" n_ef_per_ev_cell=4.0 m_tot_mub_per_fu=2.99 e_form_raw_mev_per_atom=911 space_group=P4/mmm pbc="T T T"
Zr 0.000 0.000 0.000
Cr 0.000 0.000 2.447
Te 0.000 2.706 0.000
Te 2.706 0.000 0.000
As 2.706 2.706 2.447

10.
9
Lattice="6.557 0.000 0.000 -3.279 5.679 0.000 0.000 0.000 3.292" Properties=species:S:1:pos:R:3 comment="TiCrAs | Alexandria | GGA-PBEsol | optimized geometry" n_ef_per_ev_cell=5.9 m_tot_mub_per_fu=0.00 formation_energy_mev_per_atom=-652 space_group=P-62m pbc="T T T"
Ti -1.957 3.390 0.000
Ti 1.321 2.289 0.000
Ti 3.914 0.000 0.000
Cr -0.842 1.459 1.646
Cr 1.684 0.000 1.646
Cr 2.436 4.220 1.646
As 0.000 0.000 0.000
As 0.000 3.786 1.646
As 3.279 1.893 1.646

11.
4
Lattice="1.564 0.903 8.662 -1.564 0.903 8.662 0.000 -1.806 8.662" Properties=species:S:1:pos:R:3 comment="TlCrAs2 | Alexandria | GGA-PBEsol | optimized geometry" n_ef_per_ev_cell=3.2 de_polymorph_ev_per_atom=0.318 m_tot_mub_per_fu=0.80 formation_energy_mev_per_atom=428 space_group=R3m pbc="T T T"
Tl 0.000 0.000 0.000
Cr 0.000 0.000 19.526
As 0.000 0.000 6.040
As 0.000 0.000 12.373

12.
4
Lattice="-1.502 1.621 8.168 1.502 -1.621 8.168 1.502 1.621 -8.168" Properties=species:S:1:pos:R:3 comment="TlCrAs2 | Alexandria | GGA-PBEsol | optimized geometry" n_ef_per_ev_cell=2.7 de_polymorph_ev_per_atom=0.000 m_tot_mub_per_fu=0.00 formation_energy_mev_per_atom=110 space_group=Imm2 pbc="T T T"
Tl 0.000 0.000 0.000
Cr 0.000 1.621 4.393
As 1.502 0.000 5.444
As 0.000 0.000 10.726